No. 1
A plane-wave DFT calculation with PBE was carried out for a relaxed structure of SbOsAu2.

Values from the calculation:
The calculation puts the calculated volume at 18.900 A^3/atom. The calculation puts the total energy at -0.18477 Ha/atom.

a b c (Å): 9.1407 9.1407 9.1407
angles (deg): 19.66 19.66 19.66
Last column: nearest neighbours and their distance in Å.
Element x y z (fractional)
1 Os 0.4986 0.4986 0.4986  3 Sb 2.67, 3 Au 2.83
2 Au 0.2463 0.2463 0.2463  3 Os 2.83, 9 Au 2.88-3.12
3 Au 0.9964 0.9964 0.9964  9 Au 2.88-3.12, 3 Sb 3.14
4 Sb 0.7587 0.7587 0.7587  3 Os 2.67

No. 2
A plane-wave DFT calculation with PBE was carried out for a relaxed structure of SbOsAu.

Values from the calculation:
The calculation puts the calculated volume at 20.655 A^3/atom. Its energy above the lowest structure with this stoichiometry is 0.00 eV per formula unit.

a b c (Å): 4.4417 4.4417 4.4417
angles (deg): 60.00 60.00 60.00
Last column: nearest neighbours and their distance in Å.
Element x y z (fractional)
1 Au 0.5000 0.5000 0.5000  4 Os 2.72
2 Sb 0.0000 0.0000 0.0000  4 Os 2.72
3 Os 0.7500 0.7500 0.7500  4 Sb 2.72, 4 Au 2.72

No. 3
A plane-wave DFT calculation with PBE was carried out for a relaxed structure of SbOsAu.

Values from the calculation:
The calculation puts the calculated volume at 18.587 A^3/atom. Its energy above the lowest structure with this stoichiometry is 0.47 eV per formula unit.

a b c (Å): 5.6418 5.6418 5.6418
angles (deg): 146.05 146.05 48.77
Last column: nearest neighbours and their distance in Å.
Element x y z (fractional)
1 Os 0.3197 0.3197 0.0000  4 Sb 2.71, 4 Au 2.95
2 Sb 0.6850 0.6850 0.0000  4 Os 2.71
3 Au 0.9953 0.9953 0.0000  4 Os 2.95, 5 Sb 3.04-3.19, 4 Au 3.29

No. 4
A plane-wave DFT calculation with PBE was carried out for a relaxed structure of Sb2OsAu.

Values from the calculation:
The calculation puts the calculated volume at 20.656 A^3/atom. Its energy above the lowest structure with this stoichiometry is 0.17 eV per formula unit.

a b c (Å): 3.1990 3.1990 8.0735
angles (deg): 90.00 90.00 90.00
Last column: nearest neighbours and their distance in Å.
Element x y z (fractional)
1 Au 0.5000 0.5000 0.2500  4 Au 3.20, 8 Sb 3.23
2 Sb 0.0000 0.0000 0.9643  4 Os 2.85
3 Sb 0.0000 0.0000 0.5357  4 Os 2.85
4 Os 0.5000 0.5000 0.7500  8 Sb 2.85

No. 5
A plane-wave DFT calculation with PBE was carried out for a relaxed structure of SbOsAu2.

Values from the calculation:
The calculation puts the calculated volume at 19.304 A^3/atom. The calculation puts the total energy at -0.17839 Ha/atom.

a b c (Å): 2.9708 2.9708 8.7492
angles (deg): 90.00 90.00 90.00
Last column: nearest neighbours and their distance in Å.
Element x y z (fractional)
1 Au 0.0000 0.0000 0.0320  4 Os 2.84, 4 Au 2.97
2 Au 0.0000 0.0000 0.4680  4 Os 2.84, 4 Au 2.97
3 Sb 0.5000 0.5000 0.7500  4 Sb 2.97, 8 Au 3.24
4 Os 0.5000 0.5000 0.2500  8 Au 2.84, 4 Os 2.97

No. 6
A plane-wave DFT calculation with PBE was carried out for a relaxed structure of Sb2OsAu.

Values from the calculation:
The calculation puts the calculated volume at 23.693 A^3/atom. Its energy above the lowest structure with this stoichiometry is 0.42 eV per formula unit.

a b c (Å): 4.7499 4.7499 6.7795
angles (deg): 70.17 70.17 41.68
Last column: nearest neighbours and their distance in Å.
Element x y z (fractional)
1 Sb 0.9836 0.9836 0.8991  3 Os 2.71-2.88
2 Sb 0.2731 0.2731 0.3658  3 Au 2.63-2.77, 2 Os 2.86
3 Au 0.5086 0.5086 0.5147  3 Sb 2.63-2.77, 3 Os 2.83-2.87
4 Os 0.7346 0.7346 0.7203  5 Sb 2.71-2.88, 3 Au 2.83-2.87

No. 7
A plane-wave DFT calculation with PBE was carried out for a relaxed structure of Sb2OsAu.

Values from the calculation:
The calculation puts the calculated volume at 21.922 A^3/atom. Its energy above the lowest structure with this stoichiometry is 1.20 eV per formula unit.

a b c (Å): 3.1081 3.1081 10.4103
angles (deg): 90.00 90.00 119.32
Last column: nearest neighbours and their distance in Å.
Element x y z (fractional)
1 Au 0.0000 0.0000 0.5218  2 Os 2.78, 2 Sb 2.87, 4 Au 3.11
2 Sb 0.5000 0.5000 0.2908  2 Au 2.87, 6 Sb 3.11-3.14
3 Sb 0.0000 0.0000 0.9458  2 Os 2.64
4 Os 0.5000 0.5000 0.7417  2 Sb 2.64, 2 Au 2.78

No. 8
A plane-wave DFT calculation with PBE was carried out for a relaxed structure of Sb2OsAu.

Values from the calculation:
The calculation puts the calculated volume at 20.012 A^3/atom. Its energy above the lowest structure with this stoichiometry is 1.46 eV per formula unit.

a b c (Å): 5.5182 5.5182 5.5182
angles (deg): 135.98 135.98 64.01
Last column: nearest neighbours and their distance in Å.
Element x y z (fractional)
1 Au 0.5000 0.5000 0.0000  8 Sb 2.92-3.12, 4 Os 3.12
2 Sb 0.0000 0.0000 0.0000  4 Au 2.92, 4 Os 3.12, 4 Sb 3.12
3 Sb 0.2500 0.7500 0.5000  4 Os 2.92, 4 Sb 3.12, 4 Au 3.12
4 Os 0.7500 0.2500 0.5000  8 Sb 2.92-3.12, 4 Au 3.12

No. 9
A plane-wave DFT calculation with PBE was carried out for a relaxed structure of SbOsAu2.

Values from the calculation:
The calculation puts the calculated volume at 18.102 A^3/atom. The calculation puts the total energy at -0.18141 Ha/atom.

a b c (Å): 4.0161 4.0161 4.4893
angles (deg): 90.00 90.00 90.00
Last column: nearest neighbours and their distance in Å.
Element x y z (fractional)
1 Au 0.0000 0.0000 0.0000  4 Au 2.84, 4 Sb 3.01, 4 Os 3.01
2 Au 0.5000 0.5000 0.0000  4 Au 2.84, 4 Sb 3.01, 4 Os 3.01
3 Os 0.5000 0.0000 0.5000  4 Sb 2.84, 8 Au 3.01
4 Sb 0.0000 0.5000 0.5000  4 Os 2.84, 8 Au 3.01

No. 10
A plane-wave DFT calculation with PBE was carried out for a relaxed structure of Sb2OsAu.

Values from the calculation:
The calculation puts the calculated volume at 19.860 A^3/atom. Its energy above the lowest structure with this stoichiometry is 1.07 eV per formula unit.

a b c (Å): 4.8253 4.8253 4.8253
angles (deg): 60.00 60.00 60.00
Last column: nearest neighbours and their distance in Å.
Element x y z (fractional)
1 Os 0.0000 0.0000 0.0000  8 Sb 2.95
2 Au 0.5000 0.5000 0.5000  8 Sb 2.95
3 Sb 0.7500 0.7500 0.7500  4 Au 2.95, 4 Os 2.95
4 Sb 0.2500 0.2500 0.2500  4 Au 2.95, 4 Os 2.95

No. 11
A plane-wave DFT calculation with PBE was carried out for a relaxed structure of SbOsAu2.

Values from the calculation:
The calculation puts the calculated volume at 18.679 A^3/atom. The calculation puts the total energy at -0.18605 Ha/atom.

a b c (Å): 3.2351 3.2351 7.1394
angles (deg): 90.00 90.00 90.00
Last column: nearest neighbours and their distance in Å.
Element x y z (fractional)
1 Au 0.0000 0.0000 0.0200  4 Au 2.86, 4 Sb 3.17
2 Au 0.5000 0.5000 0.2594  4 Au 2.86, 4 Os 2.89
3 Os 0.0000 0.0000 0.5074  4 Sb 2.72, 4 Au 2.89
4 Sb 0.5000 0.5000 0.7132  4 Os 2.72

No. 12
A plane-wave DFT calculation with PBE was carried out for a relaxed structure of Sb2OsAu.

Values from the calculation:
The calculation puts the calculated volume at 21.695 A^3/atom. Its energy above the lowest structure with this stoichiometry is 1.14 eV per formula unit.

a b c (Å): 3.0311 3.0311 10.6719
angles (deg): 90.00 90.00 117.74
Last column: nearest neighbours and their distance in Å.
Element x y z (fractional)
1 Au 0.5000 0.5000 0.2500  6 Au 3.03-3.13
2 Sb 0.0000 0.0000 0.5388  2 Os 2.75, 4 Sb 3.03
3 Sb 0.0000 0.0000 0.9612  2 Os 2.75, 4 Sb 3.03
4 Os 0.5000 0.5000 0.7500  4 Sb 2.75, 4 Os 3.03

No. 13
A plane-wave DFT calculation with PBE was carried out for a relaxed structure of Sb2OsAu.

Values from the calculation:
The calculation puts the calculated volume at 21.704 A^3/atom. Its energy above the lowest structure with this stoichiometry is 0.16 eV per formula unit.

a b c (Å): 7.0564 7.0564 7.0564
angles (deg): 154.27 145.21 43.77
Last column: nearest neighbours and their distance in Å.
Element x y z (fractional)
1 Sb 0.0572 0.0572 0.0000  2 Os 2.70
2 Sb 0.7810 0.2810 0.5000  4 Os 2.73, 2 Au 2.94
3 Au 0.4373 0.4373 0.0000  6 Sb 2.94-3.06, 2 Au 3.14, 2 Os 3.20
4 Os 0.2245 0.7245 0.5000  6 Sb 2.70-2.73

No. 14
A plane-wave DFT calculation with PBE was carried out for a relaxed structure of Sb2OsAu.

Values from the calculation:
The calculation puts the calculated volume at 21.309 A^3/atom. Its energy above the lowest structure with this stoichiometry is 0.00 eV per formula unit.

a b c (Å): 3.2464 3.1427 8.3544
angles (deg): 90.03 90.00 90.00
Last column: nearest neighbours and their distance in Å.
Element x y z (fractional)
1 Sb 0.0000 0.2498 0.5444  4 Os 2.84, 2 Au 2.95, 2 Sb 3.14
2 Sb 0.0000 0.2502 0.9556  4 Os 2.84, 2 Au 2.95, 2 Sb 3.14
3 Au 0.5000 0.2500 0.2500  4 Sb 2.95, 4 Au 3.14-3.25
4 Os 0.5000 0.7500 0.7500  8 Sb 2.84, 2 Os 3.14

No. 15
A plane-wave DFT calculation with PBE was carried out for a relaxed structure of SbOsAu2.

Values from the calculation:
The calculation puts the calculated volume at 19.522 A^3/atom. The calculation puts the total energy at -0.18036 Ha/atom.

a b c (Å): 2.9301 2.9301 10.3020
angles (deg): 90.00 90.00 118.01
Last column: nearest neighbours and their distance in Å.
Element x y z (fractional)
1 Sb 0.5000 0.5000 0.7130  2 Os 2.69, 4 Sb 2.93
2 Au 0.5000 0.5000 0.2662  2 Os 2.81, 8 Au 2.92-3.02
3 Au 0.0000 0.0000 0.0241  8 Au 2.92-3.02
4 Os 0.0000 0.0000 0.4967  2 Sb 2.69, 2 Au 2.81, 4 Os 2.93